Record 1
# V4Fe2W (GGA-PBE, relaxed)
data_V4Fe2W
_chemical_formula_sum 'V8 Fe4 W2'
_symmetry_space_group_name_H-M 'I 4/m m m'
_symmetry_Int_Tables_number 139
_symmetry_space_group_name_Hall '-I 4 2'
_cell_length_a 4.539
_cell_length_b 4.539
_cell_length_c 11.903
_cell_angle_alpha 90.00
_cell_angle_beta 90.00
_cell_angle_gamma 90.00
loop_
_atom_site_label
_atom_site_fract_x
_atom_site_fract_y
_atom_site_fract_z
V1 0.000 0.000 0.209
V2 0.000 0.500 0.000
Fe1 0.000 0.000 0.395
W1 0.000 0.000 0.000
# DFT formation energy, eV per atom: 1.228

Record 2
# LaMg2 (GGA-PBE, relaxed)
data_LaMg2
_chemical_formula_sum 'La4 Mg8'
_symmetry_space_group_name_H-M 'F m -3 m'
_symmetry_Int_Tables_number 225
_symmetry_space_group_name_Hall '-F 4 2 3'
_cell_length_a 7.526
_cell_length_b 7.526
_cell_length_c 7.526
_cell_angle_alpha 90.00
_cell_angle_beta 90.00
_cell_angle_gamma 90.00
loop_
_atom_site_label
_atom_site_fract_x
_atom_site_fract_y
_atom_site_fract_z
La1 0.000 0.000 0.000
Mg1 0.250 0.250 0.250
# DFT formation energy, eV per atom: 0.468

Record 3
# KTi3Br (GGA-PBE, relaxed)
data_KTi3Br
_chemical_formula_sum 'K1 Ti3 Br1'
_symmetry_space_group_name_H-M 'P m -3 m'
_symmetry_Int_Tables_number 221
_symmetry_space_group_name_Hall '-P 4 2 3'
_cell_length_a 4.808
_cell_length_b 4.808
_cell_length_c 4.808
_cell_angle_alpha 90.00
_cell_angle_beta 90.00
_cell_angle_gamma 90.00
loop_
_atom_site_label
_atom_site_fract_x
_atom_site_fract_y
_atom_site_fract_z
K1 0.000 0.000 0.000
Ti1 0.000 0.000 0.500
Br1 0.500 0.500 0.500
# E_form (uncorrected), eV per formula unit: 10.7

Record 4
# ErTm3Sn2C (GGA-PBE, relaxed)
data_ErTm3Sn2C
_chemical_formula_sum 'Er2 Tm6 Sn4 C2'
_symmetry_space_group_name_H-M 'I m m m'
_symmetry_Int_Tables_number 71
_symmetry_space_group_name_Hall '-I 2 2'
_cell_length_a 4.724
_cell_length_b 4.741
_cell_length_c 15.715
_cell_angle_alpha 90.00
_cell_angle_beta 90.00
_cell_angle_gamma 90.00
loop_
_atom_site_label
_atom_site_fract_x
_atom_site_fract_y
_atom_site_fract_z
Er1 0.000 0.000 0.000
Tm1 0.000 0.000 0.500
Tm2 0.000 0.500 0.158
Sn1 0.000 0.500 0.359
C1 0.000 0.500 0.000
# DFT formation energy, eV per atom: -0.675

Record 5
# CsPdBr3 (GGA-PBE, relaxed)
data_CsPdBr3
_chemical_formula_sum 'Cs2 Pd2 Br6'
_symmetry_space_group_name_H-M 'P m n 21'
_symmetry_Int_Tables_number 31
_symmetry_space_group_name_Hall 'P 2ac -2'
_cell_length_a 7.008
_cell_length_b 8.724
_cell_length_c 5.700
_cell_angle_alpha 90.00
_cell_angle_beta 90.00
_cell_angle_gamma 90.00
loop_
_atom_site_label
_atom_site_fract_x
_atom_site_fract_y
_atom_site_fract_z
Cs1 0.000 0.116 0.000
Pd1 0.000 0.520 0.335
Br1 0.000 0.861 0.491
Br2 0.248 0.375 0.558
# E_form (uncorrected), eV per formula unit: -4.1

Record 6
# Gd2PuGa (GGA-PBE, relaxed)
data_Gd2PuGa
_chemical_formula_sum 'Gd2 Pu1 Ga1'
_symmetry_space_group_name_H-M 'P 4/m m m'
_symmetry_Int_Tables_number 123
_symmetry_space_group_name_Hall '-P 4 2'
_cell_length_a 4.808
_cell_length_b 4.808
_cell_length_c 4.515
_cell_angle_alpha 90.00
_cell_angle_beta 90.00
_cell_angle_gamma 90.00
loop_
_atom_site_label
_atom_site_fract_x
_atom_site_fract_y
_atom_site_fract_z
Gd1 0.000 0.500 0.000
Pu1 0.000 0.000 0.500
Ga1 0.500 0.500 0.500
# DFT formation energy, eV per atom: -0.175

Record 7
# EuPPb2 (GGA-PBE, relaxed)
data_EuPPb2
_chemical_formula_sum 'Eu3 P3 Pb6'
_symmetry_space_group_name_H-M 'R -3 m'
_symmetry_Int_Tables_number 166
_symmetry_space_group_name_Hall '-R 3 2"'
_cell_length_a 3.8685
_cell_length_b 3.8685
_cell_length_c 30.5653
_cell_angle_alpha 90.00
_cell_angle_beta 90.00
_cell_angle_gamma 120.00
loop_
_atom_site_label
_atom_site_fract_x
_atom_site_fract_y
_atom_site_fract_z
Eu1 0.0000 0.0000 0.0000
P1 0.0000 0.0000 0.5000
Pb1 0.0000 0.0000 0.1095
# DFT formation energy, eV per atom: 0.088

Record 8
# La3TeN (GGA-PBE, relaxed)
data_La3TeN
_chemical_formula_sum 'La3 Te1 N1'
_symmetry_space_group_name_H-M 'P m -3 m'
_symmetry_Int_Tables_number 221
_symmetry_space_group_name_Hall '-P 4 2 3'
_cell_length_a 5.064
_cell_length_b 5.064
_cell_length_c 5.064
_cell_angle_alpha 90.00
_cell_angle_beta 90.00
_cell_angle_gamma 90.00
loop_
_atom_site_label
_atom_site_fract_x
_atom_site_fract_y
_atom_site_fract_z
La1 0.000 0.000 0.500
Te1 0.500 0.500 0.500
N1 0.000 0.000 0.000
# E_form (uncorrected), eV per formula unit: -5.3

Record 9
# NaMgIn2Cl (GGA-PBE, relaxed)
data_NaMgIn2Cl
_chemical_formula_sum 'Na1 Mg1 In2 Cl1'
_symmetry_space_group_name_H-M 'P 4/m m m'
_symmetry_Int_Tables_number 123
_symmetry_space_group_name_Hall '-P 4 2'
_cell_length_a 5.958
_cell_length_b 5.958
_cell_length_c 5.522
_cell_angle_alpha 90.00
_cell_angle_beta 90.00
_cell_angle_gamma 90.00
loop_
_atom_site_label
_atom_site_fract_x
_atom_site_fract_y
_atom_site_fract_z
Na1 0.000 0.000 0.000
Mg1 0.000 0.000 0.500
In1 0.000 0.500 0.000
Cl1 0.500 0.500 0.500
# E_form (uncorrected), eV per formula unit: 1.4

Record 10
# La2ReMo (GGA-PBE, relaxed)
data_La2ReMo
_chemical_formula_sum 'La8 Re4 Mo4'
_symmetry_space_group_name_H-M 'F m -3 m'
_symmetry_Int_Tables_number 225
_symmetry_space_group_name_Hall '-F 4 2 3'
_cell_length_a 7.214
_cell_length_b 7.214
_cell_length_c 7.214
_cell_angle_alpha 90.00
_cell_angle_beta 90.00
_cell_angle_gamma 90.00
loop_
_atom_site_label
_atom_site_fract_x
_atom_site_fract_y
_atom_site_fract_z
La1 0.250 0.250 0.250
Re1 0.000 0.000 0.000
Mo1 0.000 0.000 0.500
# DFT formation energy, eV per atom: 0.773

Record 11
# PmCo2Sb (GGA-PBE, relaxed)
data_PmCo2Sb
_chemical_formula_sum 'Pm1 Co2 Sb1'
_symmetry_space_group_name_H-M 'P 4/m m m'
_symmetry_Int_Tables_number 123
_symmetry_space_group_name_Hall '-P 4 2'
_cell_length_a 4.480
_cell_length_b 4.480
_cell_length_c 3.553
_cell_angle_alpha 90.00
_cell_angle_beta 90.00
_cell_angle_gamma 90.00
loop_
_atom_site_label
_atom_site_fract_x
_atom_site_fract_y
_atom_site_fract_z
Pm1 0.000 0.000 0.000
Co1 0.000 0.500 0.500
Sb1 0.500 0.500 0.000
# E_form (uncorrected), eV per formula unit: -0.2

Record 12
# SnPIrCl2 (GGA-PBE, relaxed)
data_SnPIrCl2
_chemical_formula_sum 'Sn1 P1 Ir1 Cl2'
_symmetry_space_group_name_H-M 'P 4/m m m'
_symmetry_Int_Tables_number 123
_symmetry_space_group_name_Hall '-P 4 2'
_cell_length_a 4.989
_cell_length_b 4.989
_cell_length_c 4.549
_cell_angle_alpha 90.00
_cell_angle_beta 90.00
_cell_angle_gamma 90.00
loop_
_atom_site_label
_atom_site_fract_x
_atom_site_fract_y
_atom_site_fract_z
Sn1 0.000 0.000 0.000
P1 0.500 0.500 0.000
Ir1 0.500 0.500 0.500
Cl1 0.000 0.500 0.500
# E_form (uncorrected), eV per formula unit: 0.8

Values for D(E_F), states/eV/f.u., ordered as above
9.4, 3.6, 6.9, 0.8, 0.7, 9.7, 2.4, 4.4, 2.5, 6.6, 2.9, 3.0
Values for size of the total moment, μB/f.u., ordered as above
1.98, 0.00, 2.63, 0.00, 0.00, 20.98, 7.70, 0.00, 0.00, 2.62, 1.49, 0.00